Record 1
The following is a PBE calculation of crystalline Na3Tl2Rh at its relaxed geometry, from the Alexandria database.

Unit cell a=10.145 b=10.145 c=9.793 alpha=90.07 beta=90.07 gamma=18.71
Fractional positions:
Na 0.034 0.034 0.355
Na 0.179 0.179 0.927
Na 0.300 0.300 0.650
Na 0.700 0.700 0.350
Na 0.821 0.821 0.073
Na 0.966 0.966 0.645
Tl 0.130 0.130 0.621
Tl 0.432 0.432 0.910
Tl 0.568 0.568 0.090
Tl 0.870 0.870 0.379
Rh 0.437 0.437 0.193
Rh 0.563 0.563 0.807

- DFT total energy: -2.63 eV/atom
- ΔH_f (0 K): 0.047 eV/atom

=====

Record 2
The following is a PBE calculation of crystalline Sc2CoBiSb at its relaxed geometry, from the Alexandria database.

Unit cell a=5.464 b=5.464 c=4.734 alpha=90.00 beta=90.00 gamma=90.00
Fractional positions:
Sc 0.000 0.500 0.000
Sc 0.500 0.000 0.000
Co 0.000 0.000 0.500
Bi 0.000 0.000 0.000
Sb 0.500 0.500 0.500

- DFT total energy: -5.13 eV/atom
- Formation energy without anion corrections: 0.428 eV/atom

=====

Record 3
The following is a PBE calculation of crystalline TlReMo2 at its relaxed geometry, from the Alexandria database.

Unit cell a=5.073 b=5.073 c=4.812 alpha=104.45 beta=104.45 gamma=35.34
Fractional positions:
Tl 0.000 0.000 0.000
Re 0.236 0.236 0.712
Mo 0.507 0.507 0.505
Mo 0.767 0.767 0.282

- Distance to the lowest polymorph of the same formula: 68 kJ/mol of formula units
- DFT total energy: -8.52 eV/atom
- ΔH_f (0 K): 0.596 eV/atom

=====

Record 4
The following is a PBE calculation of crystalline Pm3Pr2Nd6 at its relaxed geometry, from the Alexandria database.

Unit cell a=6.386 b=8.210 c=8.226 alpha=107.46 beta=97.24 gamma=104.91
Fractional positions:
Pm 0.000 0.000 0.000
Pm 0.091 0.364 0.819
Pm 0.909 0.636 0.181
Pr 0.272 0.091 0.454
Pr 0.728 0.909 0.546
Nd 0.182 0.726 0.637
Nd 0.363 0.455 0.271
Nd 0.455 0.818 0.090
Nd 0.545 0.182 0.910
Nd 0.637 0.545 0.729
Nd 0.818 0.274 0.363

- Distance to the lowest polymorph of the same formula: 0 kJ/mol of formula units
- DFT total energy: -4.75 eV/atom
- ΔH_f (0 K): 0.011 eV/atom

=====

Record 5
The following is a PBE calculation of crystalline LiLa2TaO6 at its relaxed geometry, from the Alexandria database.

Unit cell a=5.631 b=5.631 c=5.631 alpha=61.35 beta=61.35 gamma=61.35
Fractional positions:
Li 0.000 0.000 0.000
La 0.249 0.249 0.249
La 0.751 0.751 0.751
Ta 0.500 0.500 0.500
O 0.171 0.348 0.734
O 0.266 0.829 0.652
O 0.348 0.734 0.171
O 0.652 0.266 0.829
O 0.734 0.171 0.348
O 0.829 0.652 0.266

- DFT total energy: -8.45 eV/atom
- Formation energy without anion corrections: -3.108 eV/atom

=====

Q: Number 2 is which compound?
A: Sc2CoBiSb

=====

Q: Look up the DFT total energy of the third one.
A: -8.52 eV/atom